No. 1
This record from Alexandria via LeMat-Bulk describes an optimized crystal structure of ReHgI2O. The functional is GGA-PBE.

a b c (Å): 5.7067 5.7067 3.7915
angles (deg): 90.00 90.00 90.00
Closest atoms and distances in Å follow each position.
Fractional coordinates of all 5 atoms:
I 0.5000 0.0000 0.0000  2 Re 2.85
I 0.0000 0.5000 0.0000  2 Re 2.85
Hg 0.5000 0.5000 0.5000  8 I 3.43, 2 Hg 3.79
O 0.0000 0.0000 0.5000  2 Re 1.90
Re 0.0000 0.0000 0.0000  2 O 1.90


No. 2
This record from Alexandria via LeMat-Bulk describes an optimized crystal structure of HgRhI2O. The functional is GGA-PBE.

a b c (Å): 5.9245 5.9245 4.0195
angles (deg): 90.00 90.00 90.00
Closest atoms and distances in Å follow each position.
Fractional coordinates of all 5 atoms:
I 0.5000 0.0000 0.0000  2 Hg 2.96
I 0.0000 0.5000 0.0000  2 Hg 2.96
Rh 0.5000 0.5000 0.5000  8 I 3.58
O 0.0000 0.0000 0.5000  2 Hg 2.01
Hg 0.0000 0.0000 0.0000  2 O 2.01


No. 3
This record from Alexandria via LeMat-Bulk describes an optimized crystal structure of HgRhI2O. The functional is GGA-PBE.

a b c (Å): 5.7374 5.7374 3.7729
angles (deg): 90.00 90.00 90.00
Closest atoms and distances in Å follow each position.
Fractional coordinates of all 5 atoms:
O 0.0000 0.0000 0.5000  2 Rh 1.89
I 0.0000 0.5000 0.0000  2 Rh 2.87
I 0.5000 0.0000 0.0000  2 Rh 2.87
Rh 0.0000 0.0000 0.0000  2 O 1.89
Hg 0.5000 0.5000 0.5000  8 I 3.43, 2 Hg 3.77


Let's list calculated total energy in order: -4.27 -2.36 -3.24 eV per atom.